No. 1
This record from Alexandria describes MnP2RhO after structural relaxation. The functional is PBE with a Hubbard U.

a b c (Å): 4.8535 4.8535 3.6771
angles (deg): 90.00 90.00 90.00
Sites, in units of the cell vectors:
P (0.0000, 0.5000, 0.0000)
P (0.5000, 0.0000, 0.0000)
Mn (0.5000, 0.5000, 0.5000)
O (0.0000, 0.0000, 0.5000)
Rh (0.0000, 0.0000, 0.0000)

Properties
- V: 17.32 Å³ per atom
- Energy above the most stable polymorph in this dataset: 0 meV per atom
- Uncorrected energy: -5.87 eV/atom


No. 2
This record from Alexandria describes Ni2SnBiO6 after structural relaxation. The functional is PBE with a Hubbard U.

a b c (Å): 5.4046 5.4044 5.7292
angles (deg): 61.86 61.86 60.00
Sites, in units of the cell vectors:
O (0.1445, 0.3829, 0.7533)
O (0.2314, 0.9139, 0.2401)
O (0.7193, 0.1444, 0.7533)
O (0.3830, 0.7193, 0.7534)
O (0.9139, 0.6147, 0.2400)
O (0.6146, 0.2314, 0.2400)
Ni (0.0160, 0.0160, 0.9519)
Ni (0.5198, 0.5198, 0.4405)
Bi (0.8066, 0.8065, 0.5803)
Sn (0.3126, 0.3126, 0.0623)

Properties
- V: 12.15 Å³ per atom
- Uncorrected energy: -5.47 eV/atom


> Look up the V of the first one.

17.32 Å³ per atom